Material: Pm3TeRhBr
Method: DFT, GGA-PBE
State: relaxed

Unit cell a=8.054 b=4.277 c=10.306 alpha=90.00 beta=109.52 gamma=90.00
Positions (direct):
Pm1 0.030 0.250 0.356
Pm2 0.182 0.250 0.973
Pm3 0.421 0.750 0.612
Pm4 0.579 0.250 0.388
Pm5 0.818 0.750 0.027
Pm6 0.970 0.750 0.644
Te1 0.237 0.750 0.217
Te2 0.763 0.250 0.783
Rh1 0.212 0.250 0.642
Rh2 0.788 0.750 0.358
Br1 0.373 0.750 0.885
Br2 0.627 0.250 0.115

Results
The calculation puts the total magnetic moment at 0.00 μB/f.u. As for the energy relative to the elements, uncorrected: -22.95 kcal/mol of atoms. For the density of states at the Fermi level, the calculation gives 0.5290 states/eV per atom. As for the space group: P2_1/m (11).